Record 1
Below is a relaxed Cs2Li2PuCl6 crystal, with properties calculated at the GGA-PBE level.

```
data_Cs2Li2PuCl6
_space_group_name_H-M_alt 'P 1'
_space_group_IT_number 1
_space_group_name_Hall 'P 1'
_cell_length_a 8.558
_cell_length_b 8.558
_cell_length_c 8.558
_cell_angle_alpha 53.50
_cell_angle_beta 53.50
_cell_angle_gamma 53.50
loop_
_atom_site_label
_atom_site_type_symbol
_atom_site_fract_x
_atom_site_fract_y
_atom_site_fract_z
Cs1 Cs 0.217 0.217 0.217
Cs2 Cs 0.783 0.783 0.783
Li1 Li 0.418 0.418 0.418
Li2 Li 0.582 0.582 0.582
Pu1 Pu 0.000 0.000 0.000
Cl1 Cl 0.243 0.752 0.752
Cl2 Cl 0.248 0.248 0.757
Cl3 Cl 0.248 0.757 0.248
Cl4 Cl 0.752 0.243 0.752
Cl5 Cl 0.752 0.752 0.243
Cl6 Cl 0.757 0.248 0.248
```

## Properties
formation energy (no corrections) = -1811.4 meV/atom

***

Record 2
Below is a relaxed Nb2VOs crystal, with properties calculated at the GGA-PBE level.

```
data_Nb2VOs
_space_group_name_H-M_alt 'P 1'
_space_group_IT_number 1
_space_group_name_Hall 'P 1'
_cell_length_a 5.755
_cell_length_b 5.755
_cell_length_c 5.755
_cell_angle_alpha 102.58
_cell_angle_beta 102.58
_cell_angle_gamma 124.37
loop_
_atom_site_label
_atom_site_type_symbol
_atom_site_fract_x
_atom_site_fract_y
_atom_site_fract_z
Nb1 Nb 0.114 0.625 0.989
Nb2 Nb 0.375 0.364 0.489
Nb3 Nb 0.636 0.125 0.011
Nb4 Nb 0.875 0.886 0.511
V1 V 0.250 0.750 0.500
V2 V 0.500 0.500 0.000
Os1 Os 0.000 0.000 0.000
Os2 Os 0.750 0.250 0.500
```

## Properties
formation energy from the elements = 0.50 eV/atom

***

Record 3
Below is a relaxed Ta4OsRu crystal, with properties calculated at the GGA-PBE level.

```
data_Ta4OsRu
_space_group_name_H-M_alt 'P 1'
_space_group_IT_number 1
_space_group_name_Hall 'P 1'
_cell_length_a 5.285
_cell_length_b 5.285
_cell_length_c 5.285
_cell_angle_alpha 60.00
_cell_angle_beta 60.00
_cell_angle_gamma 60.00
loop_
_atom_site_label
_atom_site_type_symbol
_atom_site_fract_x
_atom_site_fract_y
_atom_site_fract_z
Ta1 Ta 0.125 0.125 0.125
Ta2 Ta 0.125 0.125 0.626
Ta3 Ta 0.125 0.626 0.125
Ta4 Ta 0.626 0.125 0.125
Os1 Os 0.750 0.750 0.750
Ru1 Ru 0.500 0.500 0.500
```

## Properties
formation energy from the elements = 0.46 eV/atom
offset from the most stable computed form = 316 meV/atom

***

Record 4
Below is a relaxed MnTcNiIr crystal, with properties calculated at the GGA-PBE level.

```
data_MnTcNiIr
_space_group_name_H-M_alt 'P 1'
_space_group_IT_number 1
_space_group_name_Hall 'P 1'
_cell_length_a 4.200
_cell_length_b 4.200
_cell_length_c 4.200
_cell_angle_alpha 60.00
_cell_angle_beta 60.00
_cell_angle_gamma 60.00
loop_
_atom_site_label
_atom_site_type_symbol
_atom_site_fract_x
_atom_site_fract_y
_atom_site_fract_z
Mn1 Mn 0.000 0.000 0.000
Tc1 Tc 0.750 0.750 0.750
Ni1 Ni 0.500 0.500 0.500
Ir1 Ir 0.250 0.250 0.250
```

## Properties
formation energy from the elements = 0.04 eV/atom

***

Record 5
Below is a relaxed BaTl2SnCl6 crystal, with properties calculated at the GGA-PBE level.

```
data_BaTl2SnCl6
_space_group_name_H-M_alt 'P 1'
_space_group_IT_number 1
_space_group_name_Hall 'P 1'
_cell_length_a 7.643
_cell_length_b 8.153
_cell_length_c 13.437
_cell_angle_alpha 90.00
_cell_angle_beta 124.19
_cell_angle_gamma 90.00
loop_
_atom_site_label
_atom_site_type_symbol
_atom_site_fract_x
_atom_site_fract_y
_atom_site_fract_z
Ba1 Ba 0.000 0.000 0.000
Ba2 Ba 0.000 0.500 0.500
Tl1 Tl 0.277 0.070 0.752
Tl2 Tl 0.277 0.430 0.252
Tl3 Tl 0.723 0.570 0.748
Tl4 Tl 0.723 0.930 0.248
Sn1 Sn 0.500 0.000 0.500
Sn2 Sn 0.500 0.500 0.000
Cl1 Cl 0.128 0.050 0.261
Cl2 Cl 0.128 0.450 0.761
Cl3 Cl 0.260 0.683 0.065
Cl4 Cl 0.260 0.817 0.565
Cl5 Cl 0.394 0.200 0.067
Cl6 Cl 0.394 0.300 0.567
Cl7 Cl 0.606 0.700 0.433
Cl8 Cl 0.606 0.800 0.933
Cl9 Cl 0.740 0.183 0.435
Cl10 Cl 0.740 0.317 0.935
Cl11 Cl 0.872 0.550 0.239
Cl12 Cl 0.872 0.950 0.739
```

## Properties
formation energy (no corrections) = -1451.0 meV/atom

***

Record 6
Below is a relaxed LaPm6Tm2Mg crystal, with properties calculated at the GGA-PBE level.

```
data_LaPm6Tm2Mg
_space_group_name_H-M_alt 'P 1'
_space_group_IT_number 1
_space_group_name_Hall 'P 1'
_cell_length_a 8.586
_cell_length_b 8.586
_cell_length_c 9.558
_cell_angle_alpha 96.80
_cell_angle_beta 96.80
_cell_angle_gamma 106.76
loop_
_atom_site_label
_atom_site_type_symbol
_atom_site_fract_x
_atom_site_fract_y
_atom_site_fract_z
La1 La 0.065 0.935 0.750
La2 La 0.935 0.065 0.250
Pm1 Pm 0.032 0.463 0.330
Pm2 Pm 0.080 0.736 0.073
Pm3 Pm 0.264 0.920 0.427
Pm4 Pm 0.328 0.562 0.904
Pm5 Pm 0.438 0.672 0.596
Pm6 Pm 0.463 0.032 0.830
Pm7 Pm 0.537 0.968 0.170
Pm8 Pm 0.562 0.328 0.404
Pm9 Pm 0.672 0.438 0.096
Pm10 Pm 0.736 0.080 0.573
Pm11 Pm 0.920 0.264 0.927
Pm12 Pm 0.968 0.537 0.670
Tm1 Tm 0.202 0.271 0.593
Tm2 Tm 0.271 0.202 0.093
Tm3 Tm 0.729 0.798 0.907
Tm4 Tm 0.798 0.729 0.407
Mg1 Mg 0.401 0.599 0.250
Mg2 Mg 0.599 0.401 0.750
```

## Properties
formation energy from the elements = 0.11 eV/atom

***

VASP energy / eV for the cell shown: -50.87 -76.97 -65.15 -34.00 -72.50 -85.81